# 1
Ta2BiIr2 PBE-GGA relaxed; energy = -46.4 eV per formula unit; ΔE_f = -226 meV per atom
1.0
7.988 0.000 0.000
0.000 7.988 0.000
0.000 0.000 2.940
Ta Bi Ir
4 2 4
Direct
0.152 0.348 0.000 Ta
0.348 0.848 0.000 Ta
0.652 0.152 0.000 Ta
0.848 0.652 0.000 Ta
0.000 0.000 0.500 Bi
0.500 0.500 0.500 Bi
0.136 0.636 0.500 Ir
0.364 0.136 0.500 Ir
0.636 0.864 0.500 Ir
0.864 0.364 0.500 Ir

***

# 2
LiDy2H6Rh2 PBE-GGA relaxed; energy = -51.3 eV per formula unit
1.0
2.365 1.366 5.935
-2.365 1.366 5.935
0.000 -2.731 5.935
Li Dy H Rh
1 2 6 2
Direct
0.000 0.000 0.000 Li
0.226 0.226 0.226 Dy
0.774 0.774 0.774 Dy
0.217 0.738 0.738 H
0.262 0.262 0.783 H
0.262 0.783 0.262 H
0.738 0.217 0.738 H
0.738 0.738 0.217 H
0.783 0.262 0.262 H
0.380 0.380 0.380 Rh
0.620 0.620 0.620 Rh